(1)
{
  "formula": "Tm3Hf3CoTe2",
  "functional": "PBE",
  "state": "relaxed",
  "lattice": [[8.058, 0.000, 0.000], [-4.029, 6.979, 0.000], [0.000, 0.000, 3.598]],
  "species": ["Co", "Hf", "Hf", "Hf", "Te", "Te", "Tm", "Tm", "Tm"],
  "frac_coords": [[0.000, 0.000, 0.000], [0.598, 0.000, 0.000], [0.402, 0.402, 0.000], [0.000, 0.598, 0.000], [0.667, 0.333, 0.500], [0.333, 0.667, 0.500], [0.243, 0.000, 0.500], [0.000, 0.243, 0.500], [0.757, 0.757, 0.500]],
  "de_polymorph_mev_per_atom": 223,
  "sg": "No. 189"
}

---

(2)
{
  "formula": "Tm3Hf3CoTe2",
  "functional": "PBE",
  "state": "relaxed",
  "lattice": [[7.952, 0.000, 0.000], [-3.976, 6.886, 0.000], [0.000, 0.000, 3.757]],
  "species": ["Co", "Hf", "Hf", "Hf", "Te", "Te", "Tm", "Tm", "Tm"],
  "frac_coords": [[0.000, 0.000, 0.000], [0.228, 0.000, 0.500], [0.000, 0.228, 0.500], [0.772, 0.772, 0.500], [0.667, 0.333, 0.500], [0.333, 0.667, 0.500], [0.605, 0.000, 0.000], [0.395, 0.395, 0.000], [0.000, 0.605, 0.000]],
  "de_polymorph_mev_per_atom": 0,
  "sg": "No. 189"
}

---

(3)
{
  "formula": "Y3Hf3CoTe2",
  "functional": "PBE",
  "state": "relaxed",
  "lattice": [[8.007, 0.000, 0.000], [-4.003, 6.934, 0.000], [0.000, 0.000, 3.816]],
  "species": ["Co", "Hf", "Hf", "Hf", "Te", "Te", "Y", "Y", "Y"],
  "frac_coords": [[0.000, 0.000, 0.000], [0.776, 0.000, 0.500], [0.224, 0.224, 0.500], [0.000, 0.776, 0.500], [0.667, 0.333, 0.500], [0.333, 0.667, 0.500], [0.398, 0.000, 0.000], [0.000, 0.398, 0.000], [0.602, 0.602, 0.000]],
  "de_polymorph_mev_per_atom": 0,
  "sg": "No. 189"
}